# 1
10
Lattice="2.511 1.450 20.523 -2.511 1.450 20.523 0.000 -2.900 20.523" Properties=species:S:1:pos:R:3 comment="KTl4I5 PBE-GGA optimized geometry" final_energy_ev_per_atom=-2.659 e_form_raw_ev_per_atom=-0.828 pbc="T T T"
K 0.000 0.000 0.000
Tl 0.000 0.000 12.306
Tl 0.000 0.000 24.654
Tl 0.000 0.000 36.915
Tl 0.000 0.000 49.263
I 0.000 0.000 6.179
I 0.000 0.000 18.456
I 0.000 0.000 30.784
I 0.000 0.000 43.113
I 0.000 0.000 55.390



# 2
7
Lattice="5.479 0.000 0.000 -2.740 4.745 0.000 0.000 0.000 4.735" Properties=species:S:1:pos:R:3 comment="Fe4Hg3 PBE-GGA optimized geometry" polymorph_energy_mev_per_atom=484 e_form_mev_per_atom=798 final_energy_ev_per_atom=-4.167 pbc="T T T"
Fe 0.000 0.000 1.118
Fe 0.000 0.000 3.616
Fe 0.000 3.163 0.000
Fe 2.740 1.582 0.000
Hg -1.370 2.373 2.367
Hg 2.740 0.000 2.367
Hg 1.370 2.373 2.367



# 3
16
Lattice="1.578 -5.630 0.000 1.578 5.630 0.000 0.000 0.000 9.515" Properties=species:S:1:pos:R:3 comment="Li2NpMnN4 PBE-GGA optimized geometry" final_energy_ev_per_atom=-7.737 e_form_raw_ev_per_atom=-0.332 pbc="T T T"
Li 1.578 4.443 5.140
Li 1.578 4.443 9.133
Li 1.578 -4.443 0.383
Li 1.578 -4.443 4.375
Np 1.578 0.608 7.136
Np 1.578 -0.608 2.379
Mn 1.578 2.310 2.379
Mn 1.578 -2.310 7.136
N 1.578 4.482 7.136
N 1.578 3.416 1.157
N 1.578 3.416 3.601
N 1.578 0.000 0.000
N 1.578 0.000 4.758
N 1.578 -3.416 5.914
N 1.578 -3.416 8.358
N 1.578 -4.482 2.379



# 4
11
Lattice="6.294 0.000 0.000 2.291 6.630 0.000 3.133 2.459 5.999" Properties=species:S:1:pos:R:3 comment="KNp2Co2S6 PBE-GGA optimized geometry" final_energy_ev_per_atom=-6.863 e_form_raw_ev_per_atom=-0.867 pbc="T T T"
K 0.000 0.000 0.000
Np 1.903 2.935 1.943
Np 9.815 6.155 4.056
Co 6.197 4.235 4.201
Co 5.522 4.855 1.799
S 5.806 6.066 5.439
S 4.769 6.966 1.827
S 4.216 3.738 3.245
S 7.503 5.352 2.754
S 6.950 2.123 4.173
S 5.913 3.023 0.560



# 5
5
Lattice="4.293 0.000 0.000 0.000 4.293 0.000 0.000 0.000 5.812" Properties=species:S:1:pos:R:3 comment="CdInSeN2 PBE-GGA optimized geometry" polymorph_energy_mev_per_atom=229 final_energy_ev_per_atom=-3.334 e_form_raw_ev_per_atom=1.424 pbc="T T T"
Cd 0.000 0.000 0.000
In 2.147 2.147 2.906
Se 0.000 0.000 2.906
N 0.000 2.147 0.000
N 2.147 0.000 0.000



# 6
12
Lattice="7.556 -3.947 0.000 7.556 3.947 0.000 -1.663 0.000 5.351" Properties=species:S:1:pos:R:3 comment="TlAgHg4 PBE-GGA optimized geometry" polymorph_energy_mev_per_atom=0 e_form_mev_per_atom=43 final_energy_ev_per_atom=-1.028 pbc="T T T"
Tl 2.812 0.000 0.998
Tl 10.636 0.000 4.353
Ag 6.895 0.000 1.296
Ag 6.554 0.000 4.055
Hg 5.048 2.216 2.118
Hg 7.556 2.499 0.000
Hg 3.487 0.000 4.189
Hg 8.401 2.216 3.233
Hg 5.048 -2.216 2.118
Hg 9.961 0.000 1.162
Hg 7.556 -2.499 0.000
Hg 8.401 -2.216 3.233



# 7
4
Lattice="8.225 0.000 0.000 0.000 1.641 2.845 0.000 -1.641 2.845" Properties=species:S:1:pos:R:3 comment="MgZr2C PBE-GGA optimized geometry" e_form_mev_per_atom=-62 final_energy_ev_per_atom=-7.041 pbc="T T T"
Mg 0.000 0.000 0.000
Zr 2.708 0.000 1.891
Zr 5.517 0.000 1.891
C 4.113 0.000 3.787



# 8
4
Lattice="3.117 0.000 0.000 0.000 3.117 0.000 0.000 0.000 8.842" Properties=species:S:1:pos:R:3 comment="KMn2Ag PBE-GGA optimized geometry" polymorph_energy_mev_per_atom=0 e_form_mev_per_atom=604 final_energy_ev_per_atom=-4.968 pbc="T T T"
K 0.000 0.000 0.000
Mn 0.000 0.000 4.410
Mn 1.558 1.558 2.856
Ag 1.558 1.558 6.098



# 9
5
Lattice="4.982 0.000 0.000 0.000 4.982 0.000 0.000 0.000 5.943" Properties=species:S:1:pos:R:3 comment="RbMgSc2Cr PBE-GGA optimized geometry" polymorph_energy_mev_per_atom=0 e_form_mev_per_atom=967 final_energy_ev_per_atom=-4.003 pbc="T T T"
Rb 0.000 0.000 0.000
Mg 2.491 2.491 0.000
Sc 0.000 2.491 2.972
Sc 2.491 0.000 2.972
Cr 0.000 0.000 2.972



# 10
5
Lattice="4.190 0.000 0.000 0.000 4.190 0.000 0.000 0.000 4.553" Properties=species:S:1:pos:R:3 comment="ReAs2SeO PBE-GGA optimized geometry" polymorph_energy_mev_per_atom=0 final_energy_ev_per_atom=-5.288 e_form_raw_ev_per_atom=0.750 pbc="T T T"
Re 0.000 0.000 0.000
As 0.000 2.095 2.276
As 2.095 0.000 2.276
Se 2.095 2.095 0.000
O 2.095 2.095 2.276



# 11
16
Lattice="4.579 2.644 7.502 -4.579 2.644 7.502 0.000 -5.287 7.502" Properties=species:S:1:pos:R:3 comment="K8HBr4Cl3 PBE-GGA optimized geometry" final_energy_ev_per_atom=-3.145 pbc="T T T"
K 0.000 0.000 5.534
K -2.238 -1.292 12.999
K 0.000 -2.585 9.505
K -2.238 1.292 9.505
K 2.238 -1.292 12.999
K 0.000 2.585 12.999
K 2.238 1.292 9.505
K 0.000 0.000 16.970
H 0.000 0.000 11.252
Br 0.000 0.000 0.000
Br -2.289 -1.322 7.502
Br -2.289 1.322 15.003
Br 0.000 2.644 7.502
Cl -4.579 0.000 11.252
Cl -2.289 1.322 3.751
Cl 2.289 1.322 3.751



# 12
7
Lattice="2.671 1.542 8.673 -2.671 1.542 8.673 0.000 -3.085 8.673" Properties=species:S:1:pos:R:3 comment="Sm4Tl2Au PBE-GGA optimized geometry" polymorph_energy_mev_per_atom=0 e_form_mev_per_atom=-336 final_energy_ev_per_atom=-4.177 pbc="T T T"
Sm 0.000 0.000 3.165
Sm 0.000 0.000 9.702
Sm 0.000 0.000 16.317
Sm 0.000 0.000 22.854
Tl 0.000 0.000 6.366
Tl 0.000 0.000 19.654
Au 0.000 0.000 0.000



Question: Number 11 is which compound?
Answer: K8HBr4Cl3



Question: What is the formula in the ninth record?
Answer: RbMgSc2Cr